Record 1
GGA-PBE BaPm5Tl6, relaxed; formation energy from the elements = -4.20 eV/f.u.; spin magnetization = 0.001 μB per formula unit
1.0
8.8467 -3.8983 0.0000
8.8467 3.8983 0.0000
-1.7353 0.0000 5.3306
Ba Pm Tl
1 5 6
Direct
0.0000 0.0000 0.0000
0.1584 0.1584 0.6583
0.3296 0.3296 0.3292
0.5000 0.5000 0.0000
0.6704 0.6704 0.6708
0.8416 0.8416 0.3417
0.0879 0.5664 0.8272
0.2749 0.7251 0.5000
0.4336 0.9121 0.1728
0.5664 0.0879 0.8272
0.7251 0.2749 0.5000
0.9121 0.4336 0.1728

=====

Record 2
GGA-PBE BaPmTl4, relaxed; formation energy from the elements = -1.10 eV/f.u.; spin magnetization = 0.000 μB per formula unit
1.0
0.0000 4.5581 4.5581
4.5581 0.0000 4.5581
4.5581 4.5581 0.0000
Ba Pm Tl
1 1 4
Direct
0.0000 0.0000 0.0000
0.2500 0.2500 0.2500
0.1262 0.6246 0.6246
0.6246 0.1262 0.6246
0.6246 0.6246 0.1262
0.6246 0.6246 0.6246

=====

Record 3
GGA-PBE BaPmTl6, relaxed; formation energy from the elements = -2.14 eV/f.u.; spin magnetization = 0.000 μB per formula unit
1.0
4.9702 0.0000 0.0000
0.0000 4.9702 0.0000
0.0000 0.0000 9.9643
Ba Pm Tl
1 1 6
Direct
0.0000 0.0000 0.0000
0.0000 0.0000 0.5000
0.0000 0.5000 0.2636
0.0000 0.5000 0.7364
0.5000 0.0000 0.2636
0.5000 0.0000 0.7364
0.5000 0.5000 0.0000
0.5000 0.5000 0.5000

=====

Record 4
GGA-PBE BaPm5Tl3, relaxed; formation energy from the elements = -1.98 eV/f.u.; spin magnetization = 1.109 μB per formula unit
1.0
9.7111 0.0000 0.0000
-4.8555 8.4100 0.0000
0.0000 0.0000 7.0858
Ba Pm Tl
2 10 6
Direct
0.0000 0.0000 0.0000
0.0000 0.0000 0.5000
0.0000 0.3384 0.2500
0.0000 0.6616 0.7500
0.3333 0.6667 0.0000
0.3333 0.6667 0.5000
0.3384 0.0000 0.2500
0.3384 0.3384 0.7500
0.6616 0.0000 0.7500
0.6616 0.6616 0.2500
0.6667 0.3333 0.0000
0.6667 0.3333 0.5000
0.0000 0.3372 0.7500
0.0000 0.6628 0.2500
0.3372 0.0000 0.7500
0.3372 0.3372 0.2500
0.6628 0.0000 0.2500
0.6628 0.6628 0.7500

=====

Record 5
GGA-PBE BaPmTl2, relaxed; formation energy from the elements = -1.55 eV/f.u.; spin magnetization = 0.000 μB per formula unit
1.0
4.0505 0.0000 0.0000
0.0000 4.0505 0.0000
0.0000 0.0000 8.2828
Ba Pm Tl
1 1 2
Direct
0.0000 0.0000 0.0000
0.0000 0.0000 0.5000
0.5000 0.5000 0.2868
0.5000 0.5000 0.7131

=====

Record 6
GGA-PBE Ba5PmTl6, relaxed; formation energy from the elements = -4.68 eV/f.u.; spin magnetization = 0.000 μB per formula unit
1.0
9.5141 -4.1645 0.0000
9.5141 4.1645 0.0000
-1.8628 0.0000 5.6856
Ba Pm Tl
5 1 6
Direct
0.0000 0.0000 0.0000
0.1597 0.1597 0.6594
0.3148 0.3148 0.3153
0.6852 0.6852 0.6847
0.8403 0.8403 0.3406
0.5000 0.5000 0.0000
0.1277 0.5658 0.8476
0.2926 0.7074 0.5000
0.4342 0.8723 0.1524
0.5658 0.1277 0.8476
0.7074 0.2926 0.5000
0.8723 0.4342 0.1524

=====

Values for calculated total energy, eV/atom, ordered as above
-3.673, -2.873, -2.877, -3.862, -3.239, -2.770